Record 1
DFT (PBE) results for a relaxed structure of Dy5Hg2Te2.

Geometry as POSCAR:
```
Dy5Hg2Te2
1.0
7.750 -4.049 0.000
7.750 4.049 0.000
0.000 0.000 8.035
Dy Hg Te
10 4 4
Direct
0.000 0.000 0.000
0.035 0.703 0.662
0.203 0.535 0.162
0.297 0.965 0.662
0.465 0.797 0.162
0.500 0.500 0.500
0.535 0.203 0.838
0.703 0.035 0.338
0.797 0.465 0.838
0.965 0.297 0.338
0.135 0.865 0.369
0.365 0.635 0.869
0.635 0.365 0.131
0.865 0.135 0.631
0.203 0.203 0.000
0.297 0.297 0.500
0.703 0.703 0.500
0.797 0.797 0.000
```

Formation energy from raw total energies (eV/atom): -0.81
DOS at the Fermi energy (states/eV per cell): 12.67
Magnetization (μB/atom): 0.00

=====

Record 2
DFT (PBE) results for a relaxed structure of Li5Ce3O12.

Geometry as POSCAR:
```
Li5Ce3O12
1.0
-6.348 6.348 6.348
6.348 -6.348 6.348
6.348 6.348 -6.348
Li Ce O
20 12 48
Direct
0.000 0.000 0.000
0.000 0.000 0.500
0.000 0.500 0.000
0.000 0.500 0.500
0.125 0.750 0.875
0.125 0.875 0.250
0.250 0.125 0.875
0.250 0.625 0.375
0.375 0.250 0.625
0.375 0.625 0.750
0.500 0.000 0.000
0.500 0.000 0.500
0.500 0.500 0.000
0.500 0.500 0.500
0.625 0.375 0.250
0.625 0.750 0.375
0.750 0.375 0.625
0.750 0.875 0.125
0.875 0.125 0.750
0.875 0.250 0.125
0.125 0.250 0.375
0.125 0.375 0.750
0.250 0.375 0.125
0.250 0.875 0.625
0.375 0.125 0.250
0.375 0.750 0.125
0.625 0.250 0.875
0.625 0.875 0.750
0.750 0.125 0.375
0.750 0.625 0.875
0.875 0.625 0.250
0.875 0.750 0.625
0.052 0.237 0.141
0.052 0.315 0.911
0.089 0.641 0.405
0.089 0.948 0.685
0.095 0.737 0.685
0.095 0.859 0.411
0.141 0.052 0.237
0.141 0.589 0.905
0.185 0.237 0.595
0.185 0.448 0.589
0.237 0.141 0.052
0.237 0.595 0.185
0.263 0.315 0.905
0.263 0.448 0.359
0.315 0.905 0.263
0.315 0.911 0.052
0.359 0.263 0.448
0.359 0.595 0.911
0.405 0.089 0.641
0.405 0.815 0.763
0.411 0.095 0.859
0.411 0.815 0.552
0.448 0.359 0.263
0.448 0.589 0.185
0.552 0.411 0.815
0.552 0.641 0.737
0.589 0.185 0.448
0.589 0.905 0.141
0.595 0.185 0.237
0.595 0.911 0.359
0.641 0.405 0.089
0.641 0.737 0.552
0.685 0.089 0.948
0.685 0.095 0.737
0.737 0.552 0.641
0.737 0.685 0.095
0.763 0.405 0.815
0.763 0.859 0.948
0.815 0.552 0.411
0.815 0.763 0.405
0.859 0.411 0.095
0.859 0.948 0.763
0.905 0.141 0.589
0.905 0.263 0.315
0.911 0.052 0.315
0.911 0.359 0.595
0.948 0.685 0.089
0.948 0.763 0.859
```

Formation energy from raw total energies (eV/atom): -1.90
DOS at the Fermi energy (states/eV per cell): 46.62
Magnetization (μB/atom): 0.35

=====

Record 3
DFT (PBE) results for a relaxed structure of PrGa4Ag2.

Geometry as POSCAR:
```
PrGa4Ag2
1.0
-2.086 2.126 8.236
2.086 -2.126 8.236
2.086 2.126 -8.236
Pr Ga Ag
1 4 2
Direct
0.000 0.000 0.000
0.332 0.832 0.500
0.425 0.425 0.000
0.575 0.575 0.000
0.668 0.168 0.500
0.174 0.674 0.500
0.826 0.326 0.500
```

DOS at the Fermi energy (states/eV per cell): 3.37
Magnetization (μB/atom): 0.00
Formation enthalpy at 0 K (meV per atom): -233.7

=====

Record 4
DFT (PBE) results for a relaxed structure of HoLuCuGe.

Geometry as POSCAR:
```
HoLuCuGe
1.0
0.000 3.468 3.468
3.468 0.000 3.468
3.468 3.468 0.000
Ho Lu Cu Ge
1 1 1 1
Direct
0.000 0.000 0.000
0.500 0.500 0.500
0.250 0.250 0.250
0.750 0.750 0.750
```

DOS at the Fermi energy (states/eV per cell): 2.74
Magnetization (μB/atom): 0.00
Formation enthalpy at 0 K (meV per atom): -489.9

=====

Record 5
DFT (PBE) results for a relaxed structure of SmAl11Ru.

Geometry as POSCAR:
```
SmAl11Ru
1.0
2.606 -6.314 0.000
2.606 6.314 0.000
-2.415 0.000 6.774
Sm Al Ru
1 11 1
Direct
0.000 0.000 0.000
0.000 0.000 0.500
0.000 0.500 0.000
0.015 0.363 0.360
0.281 0.499 0.772
0.363 0.015 0.360
0.499 0.281 0.772
0.500 0.000 0.000
0.501 0.719 0.228
0.637 0.985 0.640
0.719 0.501 0.228
0.985 0.637 0.640
0.500 0.500 0.500
```

DOS at the Fermi energy (states/eV per cell): 4.85
Magnetization (μB/atom): 0.00
Formation enthalpy at 0 K (meV per atom): -277.6

=====

Record 6
DFT (PBE) results for a relaxed structure of TmLuBi.

Geometry as POSCAR:
```
TmLuBi
1.0
5.203 0.000 0.000
-2.602 4.506 0.000
0.000 0.000 3.755
Tm Lu Bi
1 1 1
Direct
0.000 0.000 0.000
0.667 0.333 0.461
0.333 0.667 0.718
```

DOS at the Fermi energy (states/eV per cell): 2.69
Magnetization (μB/atom): 0.00
Formation enthalpy at 0 K (meV per atom): -214.5

=====

Record 7
DFT (PBE) results for a relaxed structure of Dy2HoNi.

Geometry as POSCAR:
```
Dy2HoNi
1.0
6.829 0.000 0.000
0.000 9.562 0.000
0.000 0.000 6.299
Dy Ho Ni
8 4 4
Direct
0.179 0.066 0.178
0.179 0.434 0.178
0.321 0.566 0.678
0.321 0.934 0.678
0.679 0.066 0.322
0.679 0.434 0.322
0.821 0.566 0.822
0.821 0.934 0.822
0.034 0.250 0.640
0.466 0.750 0.140
0.534 0.250 0.860
0.966 0.750 0.360
0.109 0.750 0.947
0.391 0.250 0.447
0.609 0.750 0.553
0.891 0.250 0.053
```

DOS at the Fermi energy (states/eV per cell): 16.77
Magnetization (μB/atom): 0.00
Formation enthalpy at 0 K (meV per atom): -251.4

=====

Record 8
DFT (PBE) results for a relaxed structure of Lu2TlO.

Geometry as POSCAR:
```
Lu2TlO
1.0
3.092 0.000 0.000
0.000 3.092 0.000
0.000 0.000 7.808
Lu Tl O
2 1 1
Direct
0.000 0.000 0.197
0.000 0.000 0.803
0.500 0.500 0.500
0.500 0.500 0.000
```

Formation energy from raw total energies (eV/atom): -0.91
DOS at the Fermi energy (states/eV per cell): 2.58
Magnetization (μB/atom): 0.16

=====

Record 9
DFT (PBE) results for a relaxed structure of Sr8MgPd2.

Geometry as POSCAR:
```
Sr8MgPd2
1.0
4.929 -7.290 0.000
4.929 7.290 0.000
-1.420 0.000 6.167
Sr Mg Pd
8 1 2
Direct
0.000 0.000 0.000
0.052 0.319 0.623
0.135 0.631 0.206
0.319 0.052 0.623
0.447 0.714 0.790
0.631 0.135 0.206
0.714 0.447 0.790
0.767 0.767 0.414
0.385 0.385 0.206
0.069 0.697 0.707
0.697 0.069 0.707
```

DOS at the Fermi energy (states/eV per cell): 9.96
Magnetization (μB/atom): 0.00
Formation enthalpy at 0 K (meV per atom): -227.8

=====

Record 10
DFT (PBE) results for a relaxed structure of SmTi3Rh3.

Geometry as POSCAR:
```
SmTi3Rh3
1.0
6.799 0.000 0.000
0.000 6.799 0.000
0.000 0.000 6.799
Sm Ti Rh
2 6 6
Direct
0.000 0.000 0.000
0.500 0.500 0.500
0.000 0.250 0.500
0.000 0.750 0.500
0.250 0.500 0.000
0.500 0.000 0.250
0.500 0.000 0.750
0.750 0.500 0.000
0.000 0.500 0.250
0.000 0.500 0.750
0.250 0.000 0.500
0.500 0.250 0.000
0.500 0.750 0.000
0.750 0.000 0.500
```

DOS at the Fermi energy (states/eV per cell): 21.30
Magnetization (μB/atom): 0.23
Formation enthalpy at 0 K (meV per atom): -0.8

=====

Record 11
DFT (PBE) results for a relaxed structure of TmHg4Pb.

Geometry as POSCAR:
```
TmHg4Pb
1.0
4.414 -2.557 0.000
4.414 2.557 0.000
-0.082 0.000 6.656
Tm Hg Pb
1 4 1
Direct
0.000 0.000 0.000
0.332 0.332 0.232
0.334 0.334 0.771
0.666 0.666 0.229
0.668 0.668 0.768
0.000 0.000 0.500
```

DOS at the Fermi energy (states/eV per cell): 2.61
Magnetization (μB/atom): 0.00
Formation enthalpy at 0 K (meV per atom): -173.7

=====

Record 12
DFT (PBE) results for a relaxed structure of ReAg3.

Geometry as POSCAR:
```
ReAg3
1.0
4.087 0.000 0.000
0.000 4.087 0.000
0.000 0.000 4.087
Re Ag
1 3
Direct
0.000 0.000 0.000
0.000 0.500 0.500
0.500 0.000 0.500
0.500 0.500 0.000
```

DOS at the Fermi energy (states/eV per cell): 6.11
Magnetization (μB/atom): 0.00
Formation enthalpy at 0 K (meV per atom): 958.2

=====

Record 13
DFT (PBE) results for a relaxed structure of BiMo3W.

Geometry as POSCAR:
```
BiMo3W
1.0
4.883 0.000 0.000
0.000 4.883 0.000
0.000 0.000 4.883
Bi Mo W
1 3 1
Direct
0.000 0.000 0.000
0.000 0.000 0.500
0.000 0.500 0.000
0.500 0.000 0.000
0.500 0.500 0.500
```

DOS at the Fermi energy (states/eV per cell): 8.08
Magnetization (μB/atom): 0.00
Formation enthalpy at 0 K (meV per atom): 2919.3

=====

Record 14
DFT (PBE) results for a relaxed structure of NaHfTl.

Geometry as POSCAR:
```
NaHfTl
1.0
17.093 0.000 0.000
0.000 1.611 2.788
0.000 -1.611 2.788
Na Hf Tl
2 2 2
Direct
0.174 0.000 0.000
0.826 0.000 0.000
0.348 0.664 0.664
0.652 0.664 0.664
0.000 0.670 0.670
0.500 0.996 0.996
```

DOS at the Fermi energy (states/eV per cell): 7.23
Magnetization (μB/atom): 0.00
Formation enthalpy at 0 K (meV per atom): 257.8

=====

Record 15
DFT (PBE) results for a relaxed structure of AlFeSe2.

Geometry as POSCAR:
```
AlFeSe2
1.0
4.221 -1.525 0.000
4.221 1.525 0.000
-1.428 0.000 6.618
Al Fe Se
1 1 2
Direct
0.000 0.000 0.000
0.741 0.741 0.091
0.255 0.255 0.804
0.400 0.400 0.306
```

Formation energy from raw total energies (eV/atom): -0.15
DOS at the Fermi energy (states/eV per cell): 1.19
Magnetization (μB/atom): 0.22

=====

Record 16
DFT (PBE) results for a relaxed structure of Li2AcCu.

Geometry as POSCAR:
```
Li2AcCu
1.0
1.756 1.014 10.036
-1.756 1.014 10.036
0.000 -2.028 10.036
Li Ac Cu
2 1 1
Direct
0.114 0.114 0.114
0.886 0.886 0.886
0.000 0.000 0.000
0.500 0.500 0.500
```

DOS at the Fermi energy (states/eV per cell): 3.09
Magnetization (μB/atom): 0.00
Formation enthalpy at 0 K (meV per atom): 401.6

=====

Record 17
DFT (PBE) results for a relaxed structure of Cs3RbCa2H9.

Geometry as POSCAR:
```
Cs3RbCa2H9
1.0
6.723 0.000 0.000
-3.361 5.822 0.000
0.000 0.000 8.421
Cs Rb Ca H
3 1 2 9
Direct
0.000 0.000 0.000
0.333 0.667 0.659
0.667 0.333 0.341
0.000 0.000 0.500
0.333 0.667 0.142
0.667 0.333 0.858
0.000 0.500 0.000
0.184 0.367 0.311
0.184 0.816 0.311
0.367 0.184 0.689
0.500 0.000 0.000
0.500 0.500 0.000
0.633 0.816 0.311
0.816 0.184 0.689
0.816 0.633 0.689
```

Calculated total energy (eV per atom): -2.67
DOS at the Fermi energy (states/eV per cell): 8.71
Magnetization (μB/atom): 0.07

=====

Record 18
DFT (PBE) results for a relaxed structure of HoErU2P4.

Geometry as POSCAR:
```
HoErU2P4
1.0
6.814 0.000 0.000
0.000 3.935 0.000
-2.273 0.000 6.534
Ho Er U P
1 1 2 4
Direct
0.000 0.000 0.000
0.500 0.500 0.000
0.000 0.500 0.500
0.500 0.000 0.500
0.250 0.000 0.747
0.252 0.500 0.253
0.748 0.500 0.747
0.750 0.000 0.253
```

DOS at the Fermi energy (states/eV per cell): 8.64
Magnetization (μB/atom): 0.58
Formation enthalpy at 0 K (meV per atom): -1292.8

=====

Record 19
DFT (PBE) results for a relaxed structure of NdDyTm3.

Geometry as POSCAR:
```
NdDyTm3
1.0
3.600 0.000 0.000
0.000 11.404 0.000
-1.718 0.000 8.350
Nd Dy Tm
2 2 6
Direct
0.073 0.250 0.481
0.927 0.750 0.519
0.340 0.250 0.132
0.660 0.750 0.868
0.166 0.001 0.818
0.166 0.499 0.818
0.311 0.750 0.183
0.689 0.250 0.817
0.834 0.501 0.182
0.834 0.999 0.182
```

DOS at the Fermi energy (states/eV per cell): 14.34
Magnetization (μB/atom): 0.00
Formation enthalpy at 0 K (meV per atom): 298.5

=====

Record 20
DFT (PBE) results for a relaxed structure of Nb11Ir4Os9.

Geometry as POSCAR:
```
Nb11Ir4Os9
1.0
6.865 -9.320 0.000
6.865 9.320 0.000
0.000 0.000 3.060
Nb Ir Os
11 4 9
Direct
0.000 0.000 0.000
0.065 0.413 0.000
0.191 0.809 0.000
0.201 0.201 0.000
0.378 0.622 0.000
0.413 0.065 0.000
0.587 0.935 0.000
0.622 0.378 0.000
0.799 0.799 0.000
0.809 0.191 0.000
0.935 0.587 0.000
0.259 0.408 0.500
0.408 0.259 0.500
0.592 0.741 0.500
0.741 0.592 0.500
0.005 0.212 0.500
0.165 0.612 0.500
0.212 0.005 0.500
0.388 0.835 0.500
0.500 0.500 0.500
0.612 0.165 0.500
0.788 0.995 0.500
0.835 0.388 0.500
0.995 0.788 0.500
```

DOS at the Fermi energy (states/eV per cell): 18.68
Magnetization (μB/atom): 0.00
Formation enthalpy at 0 K (meV per atom): -210.9